No. 1
A geometry-optimized La4ZnRu structure, computed with PBE-GGA.

Calculated values
Polymorph energy (0 for the lowest one)   87 meV/atom
Formation enthalpy at 0 K   -16.94 kJ per mole of atoms
Magnetization   0.0000 μB/atom
Symmetry   C2/c, No. 15

Unit cell a=8.799 b=8.799 c=6.989 alpha=108.38 beta=108.38 gamma=116.01
Sites, in units of the cell vectors:
La: 0.051 0.620 0.839
La: 0.200 0.275 0.739
La: 0.275 0.200 0.239
La: 0.380 0.949 0.661
La: 0.620 0.051 0.339
La: 0.725 0.800 0.761
La: 0.800 0.725 0.261
La: 0.949 0.380 0.161
Zn: 0.378 0.622 0.250
Zn: 0.622 0.378 0.750
Ru: 0.093 0.907 0.750
Ru: 0.907 0.093 0.250


No. 2
A geometry-optimized CuOs2Se structure, computed with PBE-GGA.

Calculated values
Magnetization   0.0000 μB/atom
Symmetry   P4/mmm, No. 123
Formation energy from raw total energies   0.707 eV/atom

Unit cell a=3.045 b=3.045 c=6.047 alpha=90.00 beta=90.00 gamma=90.00
Sites, in units of the cell vectors:
Cu: 0.000 0.000 0.000
Os: 0.500 0.500 0.243
Os: 0.500 0.500 0.757
Se: 0.000 0.000 0.500


No. 3
A geometry-optimized BaCaSc structure, computed with PBE-GGA.

Calculated values
Polymorph energy (0 for the lowest one)   410 meV/atom
Formation enthalpy at 0 K   66.33 kJ per mole of atoms
Magnetization   0.3509 μB/atom
Symmetry   F-43m, No. 216

Unit cell a=8.340 b=8.340 c=8.340 alpha=90.00 beta=90.00 gamma=90.00
Sites, in units of the cell vectors:
Ba: 0.000 0.000 0.000
Ba: 0.000 0.500 0.500
Ba: 0.500 0.000 0.500
Ba: 0.500 0.500 0.000
Ca: 0.000 0.000 0.500
Ca: 0.000 0.500 0.000
Ca: 0.500 0.000 0.000
Ca: 0.500 0.500 0.500
Sc: 0.250 0.250 0.750
Sc: 0.250 0.750 0.250
Sc: 0.750 0.250 0.250
Sc: 0.750 0.750 0.750